(1)
Density functional theory data (PBE-GGA) for a relaxed structure of InOsSe.

Values from the calculation:
- distance to the lowest polymorph of the same formula (eV per formula unit) = 0.040

Lattice parameters (Å, degrees): 3.3144 3.3144 6.3122 90.00 90.00 120.00
Space group P3m1 (No. 156)
Unique sites:
In  0.0000  0.0000  0.0000 (multiplicity 1)
Os  0.6667  0.3333  0.3381 (multiplicity 1)
Se  0.3333  0.6667  0.5818 (multiplicity 1)



(2)
Density functional theory data (PBE-GGA) for a relaxed structure of InOsSe2.

Lattice parameters (Å, degrees): 6.6956 6.6956 6.6956 90.00 90.00 90.00
Space group F-43m (No. 216)
Unique sites:
In  0.0000  0.0000  0.0000 (multiplicity 4)
Os  0.2500  0.2500  0.2500 (multiplicity 4)
Se  0.0000  0.0000  0.5000 (multiplicity 4)
Se  0.2500  0.2500  0.7500 (multiplicity 4)



Table of energy relative to the elements, uncorrected (meV/atom), in record order: 333; 873
Table of V (Å³/atom), in record order: 20.02; 18.76
Table of Fermi-level density of states (states/eV/f.u.), in record order: 1.66; 2.73